Compound: Pa4GaTe5
Source: the Alexandria database
Functional: PBE
Structure: relaxed

The value obtained for the uncorrected formation energy is -581 kJ/mol of formula units. For the total magnetic moment, the calculation gives 0.25 μB per atom. The calculation puts the total DFT energy (no corrections) at -6.27 eV per atom.

It has space group C2/m (No. 12), with a = 18.538 Å, b = 4.211 Å, c = 8.577 Å, α = 90.00°, β = 102.12° and γ = 90.00°. The inequivalent atoms are Pa at (0.001, 0.000, 0.266), Pa at (0.160, 0.500, 0.579), Ga at (0.000, 0.500, 0.500), Te at (0.000, 0.500, 0.000), Te at (0.167, 0.000, 0.840) and Te at (0.170, 0.000, 0.316).

=====

Compound: VCrPt
Source: the Alexandria database
Functional: PBE
Structure: relaxed

For the total magnetic moment, the calculation gives 0.00 μB per atom. The calculation puts the total DFT energy (no corrections) at -8.48 eV per atom. Its formation enthalpy at 0 K is -0.215 eV/atom.

It has space group P1 (No. 1), with a = 2.678 Å, b = 4.726 Å, c = 6.642 Å, α = 78.98°, β = 86.24° and γ = 87.91°. The inequivalent atoms are V at (0.000, 0.000, 0.000), V at (0.080, 0.751, 0.662), Cr at (0.126, 0.168, 0.322), Cr at (0.493, 0.732, 0.340), Pt at (0.529, 0.505, 0.005) and Pt at (0.563, 0.250, 0.649).